A plane-wave DFT calculation with PBEsol was carried out for a relaxed ScTcO3 crystal.

Computed properties:
- E_form (uncorrected) (eV/f.u.) = -5.3

abc: 3.9768 3.9768 3.9768
angles: 90.00 90.00 90.00
Space group Pm-3m (No. 221)
One atom of each set of equivalent atoms:
Sc  0.0000  0.0000  0.0000 x1
Tc  0.5000  0.5000  0.5000 x1
O  0.0000  0.0000  0.5000 x3

A plane-wave DFT calculation with PBEsol was carried out for a relaxed Sc2Te5O13 crystal.

Computed properties:
- E_form (uncorrected) (eV/f.u.) = -34.0

abc: 6.5616 8.4765 10.3058
angles: 87.08 86.78 74.53
Space group P-1 (No. 2)
One atom of each set of equivalent atoms:
Sc  0.0142  0.2549  0.2457 x2
Sc  0.4448  0.9529  0.8083 x2
Te  0.1510  0.8580  0.0930 x2
Te  0.1644  0.2941  0.6356 x2
Te  0.2610  0.9007  0.4718 x2
Te  0.2903  0.3849  0.9705 x2
Te  0.4631  0.4145  0.3025 x2
O  0.0187  0.8571  0.5657 x2
O  0.0484  0.3268  0.0489 x2
O  0.0753  0.7726  0.2876 x2
O  0.0848  0.5129  0.6966 x2
O  0.1411  0.9981  0.9120 x2
O  0.2373  0.0180  0.1838 x2
O  0.3013  0.7357  0.7769 x2
O  0.3207  0.2476  0.2934 x2
O  0.3372  0.0108  0.6133 x2
O  0.3475  0.2172  0.7766 x2
O  0.3568  0.4982  0.1178 x2
O  0.4437  0.6837  0.5146 x2
O  0.4892  0.1796  0.0130 x2

A plane-wave DFT calculation with PBEsol was carried out for a relaxed ScTeO2 crystal.

Computed properties:
- E_form (uncorrected) (eV/f.u.) = -8.9

abc: 3.2855 3.2855 19.5270
angles: 90.00 90.00 120.00
Space group R-3m (No. 166, hexagonal axes)
One atom of each set of equivalent atoms:
Sc  0.0000  0.0000  0.0000 x3
Te  0.0000  0.0000  0.5000 x3
O  0.0000  0.0000  0.3843 x6

A plane-wave DFT calculation with PBEsol was carried out for a relaxed Sc2Te3O9 crystal.

Computed properties:
- E_form (uncorrected) (eV/f.u.) = -27.4

abc: 5.1817 23.9736 7.2232
angles: 90.00 115.27 90.00
Space group P2_1/c (No. 14)
One atom of each set of equivalent atoms:
Sc  0.1234  0.1595  0.1213 x4
Sc  0.1637  0.0302  0.3609 x4
Te  0.2301  0.6172  0.0176 x4
Te  0.4713  0.7220  0.6730 x4
Te  0.4773  0.5648  0.6051 x4
O  0.0259  0.6199  0.1817 x4
O  0.0352  0.5467  0.9371 x4
O  0.1399  0.7262  0.4246 x4
O  0.2044  0.5168  0.4107 x4
O  0.2128  0.6193  0.6169 x4
O  0.2888  0.1823  0.9183 x4
O  0.4212  0.0891  0.2707 x4
O  0.4363  0.2024  0.3576 x4
O  0.4730  0.5300  0.8434 x4

A plane-wave DFT calculation with PBEsol was carried out for a relaxed ScTi3O crystal.

Computed properties:
- E_form (uncorrected) (eV/f.u.) = -5.3

abc: 4.1923 4.1923 4.1923
angles: 90.00 90.00 90.00
Space group Pm-3m (No. 221)
One atom of each set of equivalent atoms:
Sc  0.0000  0.0000  0.0000 x1
Ti  0.0000  0.5000  0.5000 x3
O  0.5000  0.5000  0.5000 x1

A plane-wave DFT calculation with PBEsol was carried out for a relaxed Sc4Ti3O12 crystal.

Computed properties:
- E_form (uncorrected) (eV/f.u.) = -63.4

abc: 5.8590 6.0107 12.0277
angles: 99.57 99.90 98.69
Space group P-1 (No. 2)
One atom of each set of equivalent atoms:
Sc  0.1148  0.1357  0.4070 x2
Sc  0.1980  0.3815  0.1837 x2
Sc  0.1977  0.3853  0.6829 x2
Sc  0.3657  0.6925  0.9463 x2
Ti  0.1069  0.1548  0.9136 x2
Ti  0.3449  0.6602  0.4434 x2
Ti  0.4930  0.9879  0.7401 x2
O  0.0688  0.8271  0.9625 x2
O  0.0812  0.4099  0.8403 x2
O  0.0820  0.4206  0.3406 x2
O  0.0947  0.8169  0.4599 x2
O  0.1736  0.0258  0.2021 x2
O  0.1908  0.0472  0.6964 x2
O  0.3142  0.4242  0.0383 x2
O  0.3232  0.4245  0.5362 x2
O  0.4125  0.6918  0.2931 x2
O  0.4149  0.0871  0.9053 x2
O  0.4295  0.6872  0.7778 x2
O  0.4732  0.1250  0.4107 x2

A plane-wave DFT calculation with PBEsol was carried out for a relaxed Sc4Ti3O12 crystal.

Computed properties:
- E_form (uncorrected) (eV/f.u.) = -63.4

abc: 5.8816 5.9395 6.0321
angles: 99.38 99.47 99.12
Space group P1 (No. 1)
One atom of each set of equivalent atoms:
Sc  0.0000  0.0000  0.0000 x1
Sc  0.0865  0.5574  0.2504 x1
Sc  0.5365  0.2991  0.1940 x1
Sc  0.6956  0.8251  0.4811 x1
Ti  0.2351  0.0810  0.5360 x1
Ti  0.3790  0.6946  0.8723 x1
Ti  0.7564  0.3945  0.7301 x1
O  0.0654  0.5962  0.8988 x1
O  0.2036  0.2594  0.2980 x1
O  0.2995  0.7717  0.5569 x1
O  0.3508  0.9987  0.9810 x1
O  0.4275  0.3694  0.7601 x1
O  0.4627  0.6299  0.1817 x1
O  0.5700  0.1251  0.4748 x1
O  0.7014  0.7479  0.8105 x1
O  0.8072  0.2811  0.0227 x1
O  0.8172  0.5023  0.4570 x1
O  0.9642  0.8690  0.2868 x1
O  0.9822  0.1133  0.6846 x1

A plane-wave DFT calculation with PBEsol was carried out for a relaxed Sc2TiO5 crystal.

Computed properties:
- E_form (uncorrected) (eV/f.u.) = -27.2

abc: 3.8382 10.1286 10.1970
angles: 90.00 90.00 90.00
Space group Cmc2_1 (No. 36)
One atom of each set of equivalent atoms:
Sc  0.0000  0.1372  0.0000 x4
Sc  0.0000  0.1951  0.3124 x4
Ti  0.0000  0.1336  0.6219 x4
O  0.0000  0.0373  0.1824 x4
O  0.0000  0.0535  0.4537 x4
O  0.0000  0.2281  0.8048 x4
O  0.0000  0.3005  0.4954 x4
O  0.0000  0.3146  0.1327 x4

A plane-wave DFT calculation with PBEsol was carried out for a relaxed ScTiO3 crystal.

Computed properties:
- E_form (uncorrected) (eV/f.u.) = -16.0

abc: 5.1823 5.1823 14.1091
angles: 90.00 90.00 120.00
Space group R-3 (No. 148, hexagonal axes)
One atom of each set of equivalent atoms:
Sc  0.0000  0.0000  0.1441 x6
Ti  0.0000  0.0000  0.3485 x6
O  0.0111  0.3082  0.2519 x18

A plane-wave DFT calculation with PBEsol was carried out for a relaxed ScTi3O crystal.

Computed properties:
- E_form (uncorrected) (eV/f.u.) = 8.2

abc: 4.5578 4.5578 4.5578
angles: 90.00 90.00 90.00
Space group Pm-3m (No. 221)
One atom of each set of equivalent atoms:
Sc  0.0000  0.0000  0.0000 x1
Ti  0.0000  0.0000  0.5000 x3
O  0.5000  0.5000  0.5000 x1

A plane-wave DFT calculation with PBEsol was carried out for a relaxed Sc2Ti2O7 crystal.

Computed properties:
- E_form (uncorrected) (eV/f.u.) = -36.2

abc: 6.3412 8.8803 5.1683
angles: 90.00 100.20 90.00
Space group C2/m (No. 12)
One atom of each set of equivalent atoms:
Sc  0.0000  0.1871  0.0000 x4
Ti  0.2443  0.0000  0.6057 x4
O  0.0000  0.5000  0.5000 x2
O  0.0674  0.0000  0.2678 x4
O  0.2282  0.3272  0.1989 x8

A plane-wave DFT calculation with PBEsol was carried out for a relaxed Sc2TlO crystal.

Computed properties:
- E_form (uncorrected) (eV/f.u.) = -1.7

abc: 6.6291 6.6291 6.6291
angles: 90.00 90.00 90.00
Space group Fm-3m (No. 225)
One atom of each set of equivalent atoms:
Sc  0.2500  0.2500  0.2500 x8
Tl  0.0000  0.0000  0.0000 x4
O  0.0000  0.0000  0.5000 x4